No. 1
# K2SnHgAs2

A relaxed structure of K2SnHgAs2 (GGA-PBE, the Open Quantum Materials Database).

## Properties
- DFT total energy: -0.10864 hartree per atom
- SG: P3m1, No. 156
- Density: 4.5 Mg/m³

Lattice parameters (Å, degrees): 4.4508 4.4508 11.7759 90.00 90.00 120.00
Atoms (fractional coordinates):
K 0.3333 0.6667 0.5089
As 0.6667 0.3333 0.7055
Sn 0.0000 0.0000 0.2769
As 0.3333 0.6667 0.1705
K 0.6667 0.3333 0.9900
Hg 0.0000 0.0000 0.7384


No. 2
# KZn2Hg2As3

A relaxed structure of KZn2Hg2As3 (GGA-PBE, the Open Quantum Materials Database).

## Properties
- DFT total energy: -0.08901 hartree per atom
- SG: R-3m, No. 166
- Density: 6.4 Mg/m³

Lattice parameters (Å, degrees): 13.3081 13.3081 13.3081 18.42 18.42 18.42
Atoms (fractional coordinates):
As 0.2286 0.2286 0.2286
Hg 0.2980 0.2980 0.2980
Zn 0.0963 0.0963 0.0963
K 0.5000 0.5000 0.5000
As 0.0000 0.0000 0.0000
Hg 0.7020 0.7020 0.7020
Zn 0.9037 0.9037 0.9037
As 0.7714 0.7714 0.7714


No. 3
# LiHgAsO

A relaxed structure of LiHgAsO (GGA-PBE, the Open Quantum Materials Database).

## Properties
- DFT total energy: -0.12415 hartree per atom
- SG: Pmc2_1, No. 26
- Density: 7.0 Mg/m³

Lattice parameters (Å, degrees): 3.2460 7.3966 5.8877 90.00 90.00 90.00
Atoms (fractional coordinates):
Li 0.5000 0.0761 0.5706
Hg 0.0000 0.3041 0.9156
Hg 0.0000 0.6959 0.4156
Li 0.5000 0.9239 0.0705
As 0.0000 0.3570 0.3961
O 0.5000 0.1015 0.8717
As 0.0000 0.6430 0.8961
O 0.5000 0.8985 0.3717


No. 4
# LiHgAsO

A relaxed structure of LiHgAsO (GGA-PBE, the Open Quantum Materials Database).

## Properties
- DFT total energy: -0.12792 hartree per atom
- SG: Pmc2_1, No. 26
- Density: 7.4 Mg/m³

Lattice parameters (Å, degrees): 3.4884 7.3107 5.2727 90.00 90.00 90.00
Atoms (fractional coordinates):
O 0.5000 0.3821 0.4139
Li 0.0000 0.3174 0.4595
As 0.0000 0.0481 0.9273
Li 0.0000 0.6826 0.9595
O 0.5000 0.6179 0.9139
Hg 0.5000 0.6746 0.4532
As 0.0000 0.9519 0.4273
Hg 0.5000 0.3254 0.9532


No. 5
# LiHgAsO

A relaxed structure of LiHgAsO (GGA-PBE, the Open Quantum Materials Database).

## Properties
- DFT total energy: -0.11770 hartree per atom
- SG: P4/nmm, No. 129
- Density: 8.0 Mg/m³

Lattice parameters (Å, degrees): 4.0455 4.0455 7.5428 90.00 90.00 90.00
Atoms (fractional coordinates):
Li 0.2500 0.2500 0.1129
Li 0.7500 0.7500 0.8871
Hg 0.7500 0.2500 0.5000
As 0.2500 0.2500 0.7903
O 0.2500 0.7500 0.0000
Hg 0.2500 0.7500 0.5000
As 0.7500 0.7500 0.2097
O 0.7500 0.2500 0.0000


No. 6
# LiHgAsO

A relaxed structure of LiHgAsO (GGA-PBE, the Open Quantum Materials Database).

## Properties
- DFT total energy: -0.11701 hartree per atom
- SG: P4/nmm, No. 129
- Density: 6.8 Mg/m³

Lattice parameters (Å, degrees): 4.2813 4.2813 7.9067 90.00 90.00 90.00
Atoms (fractional coordinates):
Li 0.0000 0.0000 0.5000
As 0.0000 0.5000 0.0710
O 0.0000 0.0000 0.0000
Hg 0.5000 0.0000 0.2825
O 0.5000 0.5000 0.0000
Li 0.5000 0.5000 0.5000
Hg 0.0000 0.5000 0.7175
As 0.5000 0.0000 0.9290


No. 7
# LiHgAsPt

A relaxed structure of LiHgAsPt (GGA-PBE, the Open Quantum Materials Database).

## Properties
- DFT total energy: -0.12643 hartree per atom
- SG: F-43m, No. 216
- Density: 11.4 Mg/m³

Lattice parameters (Å, degrees): 4.6104 4.6104 4.6104 60.00 60.00 60.00
Atoms (fractional coordinates):
Pt 0.2500 0.2500 0.2500
As 0.5000 0.5000 0.5000
Hg 0.0000 0.0000 0.0000
Li 0.7500 0.7500 0.7500


No. 8
# Lu2HgAs

A relaxed structure of Lu2HgAs (GGA-PBE, the Open Quantum Materials Database).

## Properties
- DFT total energy: -0.12844 hartree per atom
- SG: F-43m, No. 216
- Density: 10.7 Mg/m³

Lattice parameters (Å, degrees): 5.1586 5.1586 5.1586 60.00 60.00 60.00
Atoms (fractional coordinates):
Lu 0.0000 0.0000 0.0000
Hg 0.2500 0.2500 0.2500
Lu 0.7500 0.7500 0.7500
As 0.5000 0.5000 0.5000


No. 9
# LuHgAs

A relaxed structure of LuHgAs (GGA-PBE, the Open Quantum Materials Database).

## Properties
- DFT total energy: -0.12731 hartree per atom
- SG: F-43m, No. 216
- Density: 9.6 Mg/m³

Lattice parameters (Å, degrees): 4.7930 4.7930 4.7930 60.00 60.00 60.00
Atoms (fractional coordinates):
Lu 0.7500 0.7500 0.7500
As 0.0000 0.0000 0.0000
Hg 0.2500 0.2500 0.2500


No. 10
# LuHg2As

A relaxed structure of LuHg2As (GGA-PBE, the Open Quantum Materials Database).

## Properties
- DFT total energy: -0.09931 hartree per atom
- SG: F-43m, No. 216
- Density: 11.7 Mg/m³

Lattice parameters (Å, degrees): 5.0805 5.0805 5.0805 60.00 60.00 60.00
Atoms (fractional coordinates):
Lu 0.2500 0.2500 0.2500
As 0.5000 0.5000 0.5000
Hg 0.0000 0.0000 0.0000
Hg 0.7500 0.7500 0.7500


No. 11
# LuHgAs

A relaxed structure of LuHgAs (GGA-PBE, the Open Quantum Materials Database).

## Properties
- DFT total energy: -0.13628 hartree per atom
- SG: F-43m, No. 216
- Density: 9.5 Mg/m³

Lattice parameters (Å, degrees): 4.8187 4.8187 4.8187 60.00 60.00 60.00
Atoms (fractional coordinates):
As 0.2500 0.2500 0.2500
Lu 0.0000 0.0000 0.0000
Hg 0.7500 0.7500 0.7500


No. 12
# LuNiHgAs

A relaxed structure of LuNiHgAs (GGA-PBE, the Open Quantum Materials Database).

## Properties
- DFT total energy: -0.14366 hartree per atom
- SG: F-43m, No. 216
- Density: 11.0 Mg/m³

Lattice parameters (Å, degrees): 4.7680 4.7680 4.7680 60.00 60.00 60.00
Atoms (fractional coordinates):
Hg 0.2500 0.2500 0.2500
As 0.0000 0.0000 0.0000
Ni 0.7500 0.7500 0.7500
Lu 0.5000 0.5000 0.5000


> Look up the density of the first one.

4.5 Mg/m³